[1]
Compound: Na2SrSn9
Source: Alexandria
Functional: GGA-PBE
Structure: optimized geometry

```
data_Na2SrSn9
_space_group_name_H-M_alt 'P 4/m m m'
_space_group_IT_number 123
_space_group_name_Hall '-P 4 2'
_cell_length_a 4.798
_cell_length_b 4.798
_cell_length_c 14.274
_cell_angle_alpha 90.00
_cell_angle_beta 90.00
_cell_angle_gamma 90.00
loop_
_atom_site_label
_atom_site_type_symbol
_atom_site_fract_x
_atom_site_fract_y
_atom_site_fract_z
Na1 Na 0.000 0.000 0.165
Sr1 Sr 0.000 0.000 0.500
Sn1 Sn 0.000 0.500 0.000
Sn2 Sn 0.000 0.500 0.326
Sn3 Sn 0.500 0.500 0.163
Sn4 Sn 0.500 0.500 0.500
```

The value obtained for the calculated volume is 27.4 Å³/atom. As for the formation energy: -188 meV per atom.

---

[2]
Compound: NaSrSn3
Source: Alexandria
Functional: GGA-PBE
Structure: optimized geometry

```
data_NaSrSn3
_space_group_name_H-M_alt 'P m -3 m'
_space_group_IT_number 221
_space_group_name_Hall '-P 4 2 3'
_cell_length_a 6.087
_cell_length_b 6.087
_cell_length_c 6.087
_cell_angle_alpha 90.00
_cell_angle_beta 90.00
_cell_angle_gamma 90.00
loop_
_atom_site_label
_atom_site_type_symbol
_atom_site_fract_x
_atom_site_fract_y
_atom_site_fract_z
Na1 Na 0.000 0.000 0.000
Sr1 Sr 0.500 0.500 0.500
Sn1 Sn 0.000 0.500 0.500
```

The value obtained for the calculated volume is 45.1 Å³/atom. As for the formation energy: 567 meV per atom. Its polymorph energy (0 for the lowest one) is 79.07 kJ/mol of atoms.

---

[3]
Compound: Na2Sr3Sn4
Source: Alexandria
Functional: GGA-PBE
Structure: optimized geometry

```
data_Na2Sr3Sn4
_space_group_name_H-M_alt 'P -1'
_space_group_IT_number 2
_space_group_name_Hall '-P 1'
_cell_length_a 5.170
_cell_length_b 6.385
_cell_length_c 9.996
_cell_angle_alpha 95.24
_cell_angle_beta 90.07
_cell_angle_gamma 113.85
loop_
_atom_site_label
_atom_site_type_symbol
_atom_site_fract_x
_atom_site_fract_y
_atom_site_fract_z
Na1 Na 0.184 0.365 0.267
Sr1 Sr 0.122 0.245 0.893
Sr2 Sr 0.500 0.000 0.500
Sn1 Sn 0.215 0.433 0.581
Sn2 Sn 0.418 0.839 0.850
```

The value obtained for the calculated volume is 33.4 Å³/atom. As for the formation energy: -423 meV per atom.

---

- Which of these has the highest calculated volume?
  NaSrSn3